# Mn3Br, optimized geometry, DFT GGA-PBEsol
# Excess energy over the best structure of this formula in the dataset: 102 meV/atom
# Energy relative to the elements, uncorrected: 0.886 eV/atom
# N(E_F): 0.6960 states/eV per atom
# Calculated volume: 15.76 Å³/atom
# Total energy: -6.902 eV per atom
data_Mn3Br
_space_group_name_H-M_alt 'I 4/m m m'
_space_group_IT_number 139
_space_group_name_Hall '-I 4 2'
_cell_length_a 3.853
_cell_length_b 3.853
_cell_length_c 8.493
_cell_angle_alpha 90.00
_cell_angle_beta 90.00
_cell_angle_gamma 90.00
loop_
_atom_site_label
_atom_site_type_symbol
_atom_site_fract_x
_atom_site_fract_y
_atom_site_fract_z
Mn1 Mn 0.000 0.000 0.000
Mn2 Mn 0.000 0.500 0.250
Br1 Br 0.000 0.000 0.500